A plane-wave DFT calculation with PBE-GGA was carried out for a geometry-optimized TbLu2Al structure.

For the total moment, the calculation gives 1.86 μB per cell. Its calculated formation energy is -1.11 kJ/mol of atoms. The distance to the lowest polymorph of the same formula is 190 meV/atom. As for the density of states at the Fermi level: 24.5 states/eV/cell.

It has space group Fm-3m (No. 225), with a = 7.467 Å, b = 7.467 Å, c = 7.467 Å, α = 90.00°, β = 90.00° and γ = 90.00°. The distinct sites, in fractional coordinates, are Tb at (0.000, 0.000, 0.000), Lu at (0.250, 0.250, 0.250) and Al at (0.000, 0.000, 0.500).